# 1
9
Lattice="4.166 0.000 0.000 -2.083 3.947 -2.058 0.000 -0.953 7.580" Properties=species:S:1:pos:R:3 comment="Mn4Cr2Tc3 | the Alexandria database | PBE | optimized geometry" delta_e_f_ev_per_fu=0.994 e_tot_ev_per_atom=-9.559 total_magnetization_mub_per_fu=7.898 pbc="T T T"
Mn 0.000 2.639 -1.369
Cr 0.000 1.994 3.714
Mn 2.083 0.354 6.890
Mn 2.083 3.228 2.991
Cr 2.083 1.000 1.807
Tc 2.083 0.695 4.343
Mn 0.000 -0.234 2.530
Tc 0.000 2.298 1.179
Tc 0.000 0.000 0.000

# 2
10
Lattice="4.359 0.000 0.000 0.000 7.278 -2.224 -2.179 -3.209 9.457" Properties=species:S:1:pos:R:3 comment="Tl5InAu4 | the Alexandria database | PBE | optimized geometry" delta_e_f_ev_per_fu=-0.380 e_tot_ev_per_atom=-2.806 total_magnetization_mub_per_fu=0.000 pbc="T T T"
Tl 2.179 -0.310 5.608
Au 0.000 -2.109 6.765
Tl 0.000 0.971 2.732
Au 2.179 2.236 7.414
Tl 2.179 3.098 4.502
Tl 2.179 3.639 -1.112
Au 2.179 6.177 0.468
Tl 0.000 4.379 1.625
Au 0.000 1.833 -0.180
In 2.179 0.000 0.000

# 3
16
Lattice="-3.358 0.391 -0.073 1.449 -1.122 5.693 1.283 11.356 1.912" Properties=species:S:1:pos:R:3 comment="SmY2SiN4 | the Alexandria database | PBE | optimized geometry" e_tot_ev_per_atom=-8.363 total_magnetization_mub_per_fu=0.000 pbc="T T T"
Y -1.685 0.433 1.533
N -0.672 9.633 4.257
N 0.774 7.762 6.045
N 0.045 0.993 3.275
Sm -1.547 2.275 5.083
Si -0.866 8.113 5.062
Sm 0.921 8.351 2.449
Si 0.240 2.513 2.471
N 0.000 0.000 0.000
Y -1.153 5.149 2.327
Y 1.059 10.193 5.999
N -1.401 2.864 1.487
N 0.350 3.695 3.730
N -0.977 6.931 3.802
N 0.641 5.678 0.956
Y 0.526 5.476 5.205

# 4
5
Lattice="-1.336 -1.965 4.466 2.146 -4.395 -1.292 4.381 1.553 1.994" Properties=species:S:1:pos:R:3 comment="BaAgPd3 | the Alexandria database | PBE | optimized geometry" delta_e_f_ev_per_fu=0.687 e_tot_ev_per_atom=-3.933 total_magnetization_mub_per_fu=0.000 e_above_lowest_polymorph_ev_per_atom=0.4183 pbc="T T T"
Ba 2.596 -2.403 2.584
Pd -0.668 -0.982 2.233
Ag 0.000 0.000 0.000
Pd 2.191 0.777 0.997
Pd 1.073 -2.197 -0.646